P) The following is a PBE calculation of TaBe2Mo after structural relaxation, from the Alexandria database.

Calculated values
SG: Imm2
Magnetization, μB per cell: 0.00

a b c (Å): 4.7584 4.7584 4.7584
angles (deg): 140.84 129.14 66.01
Fractional coordinates of all 4 atoms:
Ta  0.0000  0.0000  0.0000
Be  0.2703  0.7703  0.5000
Be  0.4579  0.4579  0.0000
Mo  0.7254  0.2254  0.5000


Q) The following is a PBE calculation of TaBe2Mo after structural relaxation, from the Alexandria database.

Calculated values
SG: C2/m
Magnetization, μB per cell: 0.00

a b c (Å): 4.4187 4.4187 2.7299
angles (deg): 92.67 92.67 104.15
Fractional coordinates of all 4 atoms:
Ta  0.0000  0.0000  0.0000
Be  0.0000  0.5000  0.5000
Be  0.5000  0.0000  0.5000
Mo  0.5000  0.5000  0.0000


R) The following is a PBE calculation of TaBe2Mo after structural relaxation, from the Alexandria database.

Calculated values
SG: R3m
Magnetization, μB per cell: 0.00

a b c (Å): 8.5790 8.5790 8.5790
angles (deg): 18.59 18.59 18.59
Fractional coordinates of all 4 atoms:
Ta  0.0000  0.0000  0.0000
Be  0.2475  0.2475  0.2475
Be  0.5127  0.5127  0.5127
Mo  0.7660  0.7660  0.7660


S) The following is a PBE calculation of TaBe2Mo after structural relaxation, from the Alexandria database.

Calculated values
SG: I-42d
Magnetization, μB per cell: 0.00

a b c (Å): 5.2423 5.2423 5.2423
angles (deg): 104.36 104.36 120.26
Fractional coordinates of all 8 atoms:
Ta  0.0000  0.0000  0.0000
Ta  0.7500  0.2500  0.5000
Be  0.1381  0.1250  0.5131
Be  0.3750  0.8619  0.9869
Be  0.6119  0.6250  0.4869
Be  0.8750  0.3881  0.0131
Mo  0.2500  0.7500  0.5000
Mo  0.5000  0.5000  0.0000


Energies in eV/atom, measured from the most stable structure: P) 0.008; Q) 0.000; R) 0.398; S) 0.353.


P) The following is a PBE calculation of TaBe2Mo after structural relaxation, from the Alexandria database.

Calculated values
SG: P4mm
Magnetization, μB per cell: 0.00

a b c (Å): 3.2740 3.2740 5.1061
angles (deg): 90.00 90.00 90.00
Fractional coordinates of all 4 atoms:
Ta  0.0000  0.0000  0.0000
Be  0.0000  0.0000  0.5086
Be  0.5000  0.5000  0.2348
Mo  0.5000  0.5000  0.7283


Q) The following is a PBE calculation of TaBe2Mo after structural relaxation, from the Alexandria database.

Calculated values
SG: P4/mmm
Magnetization, μB per cell: 0.00

a b c (Å): 2.7185 2.7185 6.9736
angles (deg): 90.00 90.00 90.00
Fractional coordinates of all 4 atoms:
Ta  0.0000  0.0000  0.0000
Be  0.5000  0.5000  0.2572
Be  0.5000  0.5000  0.7428
Mo  0.0000  0.0000  0.5000


R) The following is a PBE calculation of TaBe2Mo after structural relaxation, from the Alexandria database.

Calculated values
SG: R-3m
Magnetization, μB per cell: 0.00

a b c (Å): 8.6278 8.6278 8.6278
angles (deg): 18.39 18.39 18.39
Fractional coordinates of all 4 atoms:
Ta  0.0000  0.0000  0.0000
Be  0.2463  0.2463  0.2463
Be  0.7537  0.7537  0.7537
Mo  0.5000  0.5000  0.5000


Energies in eV/atom, measured from the most stable structure: P) 0.211; Q) 0.000; R) 0.334.


P) The following is a PBE calculation of TaBe2Mo after structural relaxation, from the Alexandria database.

Calculated values
SG: Amm2
Magnetization, μB per cell: 0.00

a b c (Å): 3.3449 4.8016 4.8016
angles (deg): 39.95 90.00 90.00
Fractional coordinates of all 4 atoms:
Ta  0.0000  0.0000  0.0000
Be  0.0000  0.7236  0.7236
Be  0.5000  0.5914  0.5914
Mo  0.5000  0.3052  0.3052


Q) The following is a PBE calculation of TaBe2Mo after structural relaxation, from the Alexandria database.

Calculated values
SG: P4mm
Magnetization, μB per cell: 0.00

a b c (Å): 2.6971 2.6971 7.0549
angles (deg): 90.00 90.00 90.00
Fractional coordinates of all 4 atoms:
Ta  0.0000  0.0000  0.0000
Be  0.0000  0.0000  0.4085
Be  0.5000  0.5000  0.2539
Mo  0.5000  0.5000  0.6568


R) The following is a PBE calculation of TaBe2Mo after structural relaxation, from the Alexandria database.

Calculated values
SG: P4/mmm
Magnetization, μB per cell: 0.00

a b c (Å): 3.8390 3.8390 3.4872
angles (deg): 90.00 90.00 90.00
Fractional coordinates of all 4 atoms:
Ta  0.0000  0.0000  0.0000
Be  0.0000  0.5000  0.5000
Be  0.5000  0.0000  0.5000
Mo  0.5000  0.5000  0.0000


Energies in eV/atom, measured from the most stable structure: P) 0.000; Q) 0.288; R) 0.242.